No. 1
Below is a relaxed GdErPbN crystal, with properties calculated at the PBE level.

```
8
Lattice="3.5461 0.0000 0.0000 -1.7730 3.0710 0.0000 0.0000 0.0000 15.6569" Properties=species:S:1:pos:R:3 pbc="T T T"
Gd 0.0000 0.0000 2.6407
Gd 0.0000 0.0000 13.0162
Er 1.7730 1.0237 5.2485
Er 1.7730 1.0237 10.4084
Pb 0.0000 0.0000 7.8285
Pb 1.7730 1.0237 0.0000
N 0.0000 2.0473 4.0301
N 0.0000 2.0473 11.6268
```

Summary:
crystal system = hexagonal
relative energy among the computed polymorphs = 0.0 kJ/mol of atoms
space group = P-6m2, No. 187
total energy = -6.41 eV per atom

No. 2
Below is a relaxed GdErPbN crystal, with properties calculated at the PBE level.

```
8
Lattice="3.5475 0.0000 0.0000 -1.7738 3.0722 0.0000 0.0000 0.0000 15.6423" Properties=species:S:1:pos:R:3 pbc="T T T"
Gd 0.0000 2.0482 6.4908
Gd 1.7738 1.0241 9.1515
Er 0.0000 2.0482 1.2766
Er 1.7738 1.0241 14.3656
Pb 0.0000 2.0482 11.7937
Pb 1.7738 1.0241 3.8486
N 0.0000 0.0000 0.0000
N 0.0000 0.0000 7.8211
```

Summary:
crystal system = trigonal
relative energy among the computed polymorphs = 0.2 kJ/mol of atoms
space group = P-3m1, No. 164
total energy = -6.40 eV per atom

No. 3
Below is a relaxed NaGdEr crystal, with properties calculated at the PBE level.

```
3
Lattice="0.0000 3.7465 3.7465 3.7465 0.0000 3.7465 3.7465 3.7465 0.0000" Properties=species:S:1:pos:R:3 pbc="T T T"
Na 0.0000 0.0000 0.0000
Gd 1.8733 1.8733 1.8733
Er 5.6198 5.6198 5.6198
```

Summary:
crystal system = cubic
relative energy among the computed polymorphs = 0.0 kJ/mol of atoms
space group = F-43m, No. 216
total energy = -2.68 eV per atom

No. 4
Below is a relaxed GdErNb crystal, with properties calculated at the PBE level.

```
3
Lattice="0.0000 3.5751 3.5751 3.5751 0.0000 3.5751 3.5751 3.5751 0.0000" Properties=species:S:1:pos:R:3 pbc="T T T"
Gd 0.0000 0.0000 0.0000
Er 3.5751 3.5751 3.5751
Nb 5.3627 5.3627 5.3627
```

Summary:
crystal system = cubic
relative energy among the computed polymorphs = 0.0 kJ/mol of atoms
space group = F-43m, No. 216
total energy = -5.64 eV per atom
DFT formation energy = 0.80 eV/atom

No. 5
Below is a relaxed GdErNb2Si2 crystal, with properties calculated at the PBE level.

```
6
Lattice="4.0034 0.0000 0.0000 0.0000 4.0034 0.0000 0.0000 0.0000 7.7879" Properties=species:S:1:pos:R:3 pbc="T T T"
Gd 0.0000 0.0000 0.0000
Er 2.0017 2.0017 5.5040
Nb 0.0000 2.0017 2.7802
Nb 2.0017 0.0000 2.7802
Si 0.0000 0.0000 4.6450
Si 2.0017 2.0017 0.9131
```

Summary:
crystal system = tetragonal
space group = P4mm, No. 99
total energy = -7.34 eV per atom

No. 6
Below is a relaxed GdErNb2Sn2 crystal, with properties calculated at the PBE level.

```
6
Lattice="4.1955 0.0000 0.0000 0.0000 4.1955 0.0000 0.0000 0.0000 8.1645" Properties=species:S:1:pos:R:3 pbc="T T T"
Gd 0.0000 0.0000 0.0000
Er 2.0978 2.0978 2.4281
Nb 0.0000 2.0978 5.2713
Nb 2.0978 0.0000 5.2713
Sn 0.0000 0.0000 3.2103
Sn 2.0978 2.0978 7.3330
```

Summary:
crystal system = tetragonal
space group = P4mm, No. 99
total energy = -6.67 eV per atom

No. 7
Below is a relaxed NdGdEr crystal, with properties calculated at the PBE level.

```
3
Lattice="0.0000 3.8582 3.8582 3.8582 0.0000 3.8582 3.8582 3.8582 0.0000" Properties=species:S:1:pos:R:3 pbc="T T T"
Nd 0.0000 0.0000 0.0000
Gd 3.8582 3.8582 3.8582
Er 5.7873 5.7873 5.7873
```

Summary:
crystal system = cubic
space group = F-43m, No. 216
total energy = -3.96 eV per atom
DFT formation energy = 0.70 eV/atom

No. 8
Below is a relaxed Nd3Gd2ErNiTe2 crystal, with properties calculated at the PBE level.

```
9
Lattice="4.0082 0.0000 0.0000 0.0000 7.3775 4.2738 0.0000 -7.3775 4.2738" Properties=species:S:1:pos:R:3 pbc="T T T"
Nd 0.0000 0.0000 0.0000
Nd 0.0000 -2.9951 3.3296
Nd 0.0000 2.9951 3.3296
Gd 2.0041 -1.7428 6.0749
Gd 2.0041 1.7428 6.0749
Er 2.0041 0.0000 3.0627
Ni 0.0000 0.0000 5.0357
Te 2.0041 -4.9267 5.0713
Te 2.0041 4.9267 5.0713
```

Summary:
crystal system = orthorhombic
space group = Amm2, No. 38
total energy = -5.19 eV per atom

No. 9
Below is a relaxed Gd2ErNi9 crystal, with properties calculated at the PBE level.

```
12
Lattice="2.4663 1.4239 8.1416 -2.4663 1.4239 8.1416 0.0000 -2.8478 8.1416" Properties=species:S:1:pos:R:3 pbc="T T T"
Gd 0.0000 0.0000 3.3873
Gd 0.0000 0.0000 21.0376
Er 0.0000 0.0000 0.0000
Ni -1.2341 -0.7125 10.1302
Ni 0.0000 0.0000 8.1344
Ni 0.0000 -1.4251 14.2947
Ni -1.2341 0.7125 14.2947
Ni 0.0000 0.0000 12.2125
Ni 1.2341 -0.7125 10.1302
Ni 0.0000 1.4251 10.1302
Ni 0.0000 0.0000 16.2905
Ni 1.2341 0.7125 14.2947
```

Summary:
crystal system = trigonal
space group = R-3m, No. 166
total energy = -5.73 eV per atom
DFT formation energy = -0.40 eV/atom

No. 10
Below is a relaxed GdEr2Ni9 crystal, with properties calculated at the PBE level.

```
12
Lattice="2.4668 1.4242 8.0476 -2.4668 1.4242 8.0476 0.0000 -2.8484 8.0476" Properties=species:S:1:pos:R:3 pbc="T T T"
Gd 0.0000 0.0000 0.0000
Er 0.0000 0.0000 3.3687
Er 0.0000 0.0000 20.7742
Ni -1.2388 -0.7152 10.0500
Ni 0.0000 0.0000 8.0414
Ni 0.0000 -1.4305 14.0929
Ni -1.2388 0.7152 14.0929
Ni 0.0000 0.0000 12.0715
Ni 1.2388 -0.7152 10.0500
Ni 0.0000 1.4305 10.0500
Ni 0.0000 0.0000 16.1015
Ni 1.2388 0.7152 14.0929
```

Summary:
crystal system = trigonal
space group = R-3m, No. 166
total energy = -5.75 eV per atom
DFT formation energy = -0.43 eV/atom

No. 11
Below is a relaxed GdErNi4 crystal, with properties calculated at the PBE level.

```
6
Lattice="0.0000 3.5710 3.5710 3.5710 0.0000 3.5710 3.5710 3.5710 0.0000" Properties=species:S:1:pos:R:3 pbc="T T T"
Gd 0.0000 0.0000 0.0000
Er 1.7855 1.7855 1.7855
Ni 4.4612 2.6809 2.6809
Ni 2.6809 4.4612 2.6809
Ni 2.6809 2.6809 4.4612
Ni 4.4612 4.4612 4.4612
```

Summary:
crystal system = cubic
relative energy among the computed polymorphs = 0.0 kJ/mol of atoms
space group = F-43m, No. 216
total energy = -5.70 eV per atom
DFT formation energy = -0.45 eV/atom

No. 12
Below is a relaxed GdErNi2 crystal, with properties calculated at the PBE level.

```
8
Lattice="4.1831 0.0000 0.0000 0.0000 7.0213 0.0000 0.0000 0.0000 5.4064" Properties=species:S:1:pos:R:3 pbc="T T T"
Gd 0.0000 0.5045 0.0000
Gd 2.0916 6.5168 2.7032
Er 0.0000 3.9891 1.2782
Er 2.0916 3.0323 3.9815
Ni 0.0000 1.5255 2.6829
Ni 0.0000 4.9661 4.0189
Ni 2.0916 2.0552 1.3157
Ni 2.0916 5.4958 5.3862
```

Summary:
crystal system = orthorhombic
relative energy among the computed polymorphs = 0.0 kJ/mol of atoms
space group = Pmn2_1, No. 31
total energy = -5.55 eV per atom
DFT formation energy = -0.46 eV/atom

No. 13
Below is a relaxed GdErNi2 crystal, with properties calculated at the PBE level.

```
8
Lattice="4.1717 0.0000 0.0000 0.0000 5.4031 0.0000 0.0000 0.0000 7.0191" Properties=species:S:1:pos:R:3 pbc="T T T"
Gd 0.0000 0.6475 0.0000
Gd 0.0000 4.7556 3.5096
Er 2.0858 2.0618 4.4940
Er 2.0858 3.3413 0.9844
Ni 0.0000 2.0354 2.5188
Ni 0.0000 3.3677 6.0284
Ni 2.0858 0.6802 1.9873
Ni 2.0858 4.7229 5.4968
```

Summary:
crystal system = orthorhombic
relative energy among the computed polymorphs = 0.2 kJ/mol of atoms
space group = Pmc2_1, No. 26
total energy = -5.54 eV per atom
DFT formation energy = -0.46 eV/atom

No. 14
Below is a relaxed GdErNi2 crystal, with properties calculated at the PBE level.

```
8
Lattice="5.3837 0.0000 0.0000 0.0000 4.1543 0.0000 -0.0264 0.0000 7.0004" Properties=species:S:1:pos:R:3 pbc="T T T"
Gd 0.6996 1.0386 1.2632
Gd 4.6577 3.1157 5.7372
Er 1.9727 1.0386 4.7552
Er 3.3846 3.1157 2.2452
Ni 0.6636 3.1157 3.2374
Ni 1.9971 3.1157 6.7328
Ni 3.3602 1.0386 0.2676
Ni 4.6937 1.0386 3.7630
```

Summary:
crystal system = monoclinic
relative energy among the computed polymorphs = 0.4 kJ/mol of atoms
space group = P2_1/m, No. 11
total energy = -5.54 eV per atom
DFT formation energy = -0.45 eV/atom

No. 15
Below is a relaxed GdErNi4 crystal, with properties calculated at the PBE level.

```
12
Lattice="5.3713 0.0000 0.0000 -2.6856 4.6517 0.0000 0.0000 0.0000 7.9938" Properties=species:S:1:pos:R:3 pbc="T T T"
Gd 0.0000 0.0000 0.0000
Gd 0.0000 0.0000 3.9969
Er 0.0000 3.1011 0.0000
Er 2.6856 1.5505 0.0000
Ni -1.3428 2.3258 2.1602
Ni -1.3428 2.3258 5.8336
Ni 0.0000 3.1011 3.9969
Ni 2.6856 0.0000 2.1602
Ni 2.6856 0.0000 5.8336
Ni 1.3428 2.3258 2.1602
Ni 1.3428 2.3258 5.8336
Ni 2.6856 1.5505 3.9969
```

Summary:
crystal system = hexagonal
relative energy among the computed polymorphs = 37.9 kJ/mol of atoms
space group = P6/mmm, No. 191
total energy = -5.31 eV per atom
DFT formation energy = -0.06 eV/atom

No. 16
Below is a relaxed GdEr3Ni4 crystal, with properties calculated at the PBE level.

```
8
Lattice="5.4031 0.0000 0.0000 0.0000 4.1664 0.0000 -0.0129 0.0000 7.0214" Properties=species:S:1:pos:R:3 pbc="T T T"
Gd 0.0000 0.0000 0.0000
Er 1.2871 0.0000 3.5128
Er 2.7013 2.0832 0.9921
Er 3.9825 2.0832 4.4927
Ni 1.3158 2.0832 5.4886
Ni 2.6644 0.0000 6.0232
Ni 4.0147 0.0000 2.5224
Ni 5.3721 2.0832 1.9933
```

Summary:
crystal system = monoclinic
space group = Pm, No. 6
total energy = -5.55 eV per atom
DFT formation energy = -0.47 eV/atom

No. 17
Below is a relaxed GdErSi4Ni2 crystal, with properties calculated at the PBE level.

```
8
Lattice="3.9719 0.0000 0.0000 0.0000 1.9982 8.1808 0.0000 -1.9982 8.1808" Properties=species:S:1:pos:R:3 pbc="T T T"
Gd 0.0000 0.0000 0.0000
Er 1.9860 0.0000 12.9080
Si 0.0000 0.0000 5.7978
Si 0.0000 0.0000 10.5640
Si 1.9860 0.0000 2.3810
Si 1.9860 0.0000 7.1025
Ni 0.0000 0.0000 3.5539
Ni 1.9860 0.0000 9.3792
```

Summary:
crystal system = orthorhombic
space group = Amm2, No. 38
total energy = -6.09 eV per atom

No. 18
Below is a relaxed GdEr2Ni4Sn4 crystal, with properties calculated at the PBE level.

```
11
Lattice="-2.1736 3.5199 7.0790 2.1736 -3.5199 7.0790 2.1736 3.5199 -7.0790" Properties=species:S:1:pos:R:3 pbc="T T T"
Gd 0.0000 0.0000 0.0000
Er 2.1736 0.0000 5.2204
Er 0.0000 3.5199 1.8586
Ni 2.1736 1.3542 -2.5190
Ni 2.1736 1.3542 2.5190
Ni 0.0000 2.1657 4.5601
Ni 0.0000 2.1657 9.5980
Sn 0.0000 0.0000 3.0744
Sn 2.1736 2.0976 0.0000
Sn 0.0000 1.4223 7.0790
Sn 0.0000 0.0000 11.0836
```

Summary:
crystal system = orthorhombic
space group = Immm, No. 71
total energy = -5.29 eV per atom

No. 19
Below is a relaxed GdErNi2Sn crystal, with properties calculated at the PBE level.

```
5
Lattice="3.6184 0.0000 0.0000 0.0000 1.9970 6.9260 0.0000 -1.9970 6.9260" Properties=species:S:1:pos:R:3 pbc="T T T"
Gd 0.0000 0.0000 0.0000
Er 0.0000 0.0000 3.7941
Ni 1.8092 0.0000 6.0773
Ni 1.8092 0.0000 11.5629
Sn 1.8092 0.0000 8.8268
```

Summary:
crystal system = orthorhombic
space group = Amm2, No. 38
total energy = -5.48 eV per atom

No. 20
Below is a relaxed Gd2ErNi4Sn4 crystal, with properties calculated at the PBE level.

```
11
Lattice="-2.2026 3.4807 7.1639 2.2026 -3.4807 7.1639 2.2026 3.4807 -7.1639" Properties=species:S:1:pos:R:3 pbc="T T T"
Gd 0.0000 0.0000 1.8893
Gd 0.0000 0.0000 12.4386
Er 0.0000 3.4807 0.0000
Ni 2.2026 2.1483 -2.5403
Ni 2.2026 2.1483 2.5403
Ni 0.0000 1.3324 4.6236
Ni 0.0000 1.3324 9.7043
Sn 2.2026 1.4364 0.0000
Sn 2.2026 0.0000 4.0837
Sn 0.0000 3.4807 3.0803
Sn 0.0000 2.0444 7.1639
```

Summary:
crystal system = orthorhombic
space group = Immm, No. 71
total energy = -5.30 eV per atom

No. 21
Below is a relaxed GdErTlNi2 crystal, with properties calculated at the PBE level.

```
5
Lattice="3.6784 0.0000 0.0000 0.0000 1.9503 7.2099 0.0000 -1.9503 7.2099" Properties=species:S:1:pos:R:3 pbc="T T T"
Gd 0.0000 0.0000 0.0000
Er 0.0000 0.0000 4.0160
Tl 1.8392 0.0000 9.2366
Ni 1.8392 0.0000 6.2914
Ni 1.8392 0.0000 12.0810
```

Summary:
crystal system = orthorhombic
space group = Amm2, No. 38
total energy = -5.02 eV per atom

No. 22
Below is a relaxed Gd2ErO3 crystal, with properties calculated at the PBE level.

```
6
Lattice="3.9129 0.0000 0.0000 -1.9564 3.3886 0.0000 0.0000 0.0000 9.6146" Properties=species:S:1:pos:R:3 pbc="T T T"
Gd 0.0000 2.2591 1.6152
Gd 1.9564 1.1295 7.9993
Er 0.0000 0.0000 4.8073
O 0.0000 0.0000 0.0000
O 0.0000 2.2591 6.3487
O 1.9564 1.1295 3.2658
```

Summary:
crystal system = trigonal
space group = P-3m1, No. 164
total energy = -6.88 eV per atom

No. 23
Below is a relaxed GdErPO crystal, with properties calculated at the PBE level.

```
8
Lattice="4.3042 0.0000 0.0000 0.0000 4.3042 0.0000 0.0000 0.0000 8.6105" Properties=species:S:1:pos:R:3 pbc="T T T"
Gd 1.0761 1.0761 0.9186
Gd 3.2282 3.2282 7.6918
Er 1.0761 3.2282 4.3052
Er 3.2282 1.0761 4.3052
P 1.0761 1.0761 5.9554
P 3.2282 3.2282 2.6551
O 1.0761 3.2282 0.0000
O 3.2282 1.0761 0.0000
```

Summary:
crystal system = tetragonal
relative energy among the computed polymorphs = 8.2 kJ/mol of atoms
space group = P4/nmm, No. 129
total energy = -6.84 eV per atom

No. 24
Below is a relaxed GdErPO crystal, with properties calculated at the PBE level.

```
8
Lattice="4.2966 0.0000 0.0000 0.0000 4.2966 0.0000 0.0000 0.0000 8.5307" Properties=species:S:1:pos:R:3 pbc="T T T"
Gd 1.0741 3.2224 0.0000
Gd 3.2224 1.0741 0.0000
Er 1.0741 1.0741 3.4264
Er 3.2224 3.2224 5.1043
P 1.0741 1.0741 6.7926
P 3.2224 3.2224 1.7382
O 1.0741 3.2224 4.2654
O 3.2224 1.0741 4.2654
```

Summary:
crystal system = tetragonal
relative energy among the computed polymorphs = 15.3 kJ/mol of atoms
space group = P4/nmm, No. 129
total energy = -6.77 eV per atom

No. 25
Below is a relaxed GdErPO crystal, with properties calculated at the PBE level.

```
8
Lattice="4.1791 0.0000 0.0000 0.0000 7.4182 0.0000 0.0000 0.0000 5.7673" Properties=species:S:1:pos:R:3 pbc="T T T"
Gd 0.0000 1.4910 0.0000
Gd 0.0000 5.9272 2.8836
Er 2.0896 2.8226 3.2517
Er 2.0896 4.5956 0.3681
P 0.0000 1.2473 2.8515
P 0.0000 6.1709 5.7351
O 2.0896 2.4736 5.4285
O 2.0896 4.9446 2.5449
```

Summary:
crystal system = orthorhombic
relative energy among the computed polymorphs = 0.0 kJ/mol of atoms
space group = Pmc2_1, No. 26
total energy = -6.92 eV per atom

Quick rundown of spin magnetization, same order as above: 0.02, 0.01, 1.23, 2.06, 1.08, 1.10, 0.10, 0.00, 0.62, 0.90, 0.00, 0.01, 0.00, 0.00, 0.00, 0.00, 0.00, 0.02, 0.00, 0.02, 0.00, 0.01, 0.02, 0.03, 0.04 Bohr magnetons per cell